[1]
The following is a PBE calculation of Li2NiPd2 after structural relaxation, from Alexandria.

abc: 6.850 6.850 2.913
angles: 90.00 90.00 90.00
Positions (direct):
Li: 0.154 0.346 0.000
Li: 0.346 0.846 0.000
Li: 0.654 0.154 0.000
Li: 0.846 0.654 0.000
Ni: 0.000 0.000 0.500
Ni: 0.500 0.500 0.500
Pd: 0.146 0.646 0.500
Pd: 0.354 0.146 0.500
Pd: 0.646 0.854 0.500
Pd: 0.854 0.354 0.500

N(E_F), states/eV/cell: 10.1
DFT formation energy, eV/atom: -0.066
Spin magnetization, μB/atom: 0.141
Space-group type: No. 127
Energy relative to the lowest polymorph listed for this composition, eV per formula unit: 0.29
Final energy, eV for the cell shown: -40.6



[2]
The following is a PBE calculation of Th4AlSb after structural relaxation, from Alexandria.

abc: 7.587 7.587 6.238
angles: 90.00 90.00 90.00
Positions (direct):
Th: 0.152 0.335 0.000
Th: 0.152 0.665 0.500
Th: 0.335 0.152 0.500
Th: 0.335 0.848 0.000
Th: 0.665 0.152 0.000
Th: 0.665 0.848 0.500
Th: 0.848 0.335 0.500
Th: 0.848 0.665 0.000
Al: 0.000 0.000 0.250
Al: 0.000 0.000 0.750
Sb: 0.500 0.500 0.250
Sb: 0.500 0.500 0.750

N(E_F), states/eV/cell: 8.2
Spin magnetization, μB/atom: 0.000
Space-group type: No. 124
Final energy, eV for the cell shown: -79.9
Formation energy from raw total energies, eV/atom: -0.404



[3]
The following is a PBE calculation of MnAgRh3 after structural relaxation, from Alexandria.

abc: 4.739 4.739 4.739
angles: 90.00 90.00 90.00
Positions (direct):
Mn: 0.000 0.000 0.000
Ag: 0.500 0.500 0.500
Rh: 0.000 0.500 0.500
Rh: 0.500 0.000 0.500
Rh: 0.500 0.500 0.000

N(E_F), states/eV/cell: 15.6
DFT formation energy, eV/atom: 2.308
Spin magnetization, μB/atom: 0.134
Space-group type: No. 221
Energy relative to the lowest polymorph listed for this composition, eV per formula unit: 7.16
Final energy, eV for the cell shown: -22.5



[4]
The following is a PBE calculation of Ce3PaN6 after structural relaxation, from Alexandria.

abc: 5.930 5.930 10.957
angles: 90.00 90.00 120.00
Positions (direct):
Ce: 0.000 0.000 0.000
Ce: 0.000 0.000 0.500
Ce: 0.333 0.667 0.063
Ce: 0.333 0.667 0.437
Ce: 0.667 0.333 0.563
Ce: 0.667 0.333 0.937
Pa: 0.333 0.667 0.750
Pa: 0.667 0.333 0.250
N: 0.050 0.366 0.616
N: 0.050 0.684 0.884
N: 0.316 0.366 0.884
N: 0.316 0.950 0.616
N: 0.366 0.050 0.384
N: 0.366 0.316 0.116
N: 0.634 0.684 0.616
N: 0.634 0.950 0.884
N: 0.684 0.050 0.116
N: 0.684 0.634 0.384
N: 0.950 0.316 0.384
N: 0.950 0.634 0.116

N(E_F), states/eV/cell: 22.5
Spin magnetization, μB/atom: 0.000
Space-group type: No. 182
Energy relative to the lowest polymorph listed for this composition, eV per formula unit: 2.25
Final energy, eV for the cell shown: -175.5
Formation energy from raw total energies, eV/atom: -1.049



[5]
The following is a PBE calculation of La2FeH2 after structural relaxation, from Alexandria.

abc: 7.224 7.224 7.224
angles: 150.69 150.69 41.94
Positions (direct):
La: 0.133 0.133 0.000
La: 0.867 0.867 0.000
Fe: 0.500 0.500 0.000
H: 0.250 0.750 0.500
H: 0.750 0.250 0.500

N(E_F), states/eV/cell: 5.3
Spin magnetization, μB/atom: 0.162
Space-group type: No. 139
Final energy, eV for the cell shown: -25.8



[6]
The following is a PBE calculation of Pa2RuPt after structural relaxation, from Alexandria.

abc: 3.453 3.453 6.975
angles: 90.00 90.00 90.00
Positions (direct):
Pa: 0.000 0.000 0.238
Pa: 0.000 0.000 0.762
Ru: 0.500 0.500 0.000
Pt: 0.500 0.500 0.500

N(E_F), states/eV/cell: 7.0
DFT formation energy, eV/atom: -0.548
Spin magnetization, μB/atom: 0.000
Space-group type: No. 123
Final energy, eV for the cell shown: -36.5



[7]
The following is a PBE calculation of PaNi2Pb2S4 after structural relaxation, from Alexandria.

abc: 7.128 7.128 7.898
angles: 102.96 102.96 30.60
Positions (direct):
Pa: 0.000 0.000 0.000
Ni: 0.318 0.318 0.007
Ni: 0.682 0.682 0.993
Pb: 0.144 0.144 0.483
Pb: 0.856 0.856 0.517
S: 0.195 0.195 0.154
S: 0.462 0.462 0.221
S: 0.538 0.538 0.779
S: 0.805 0.805 0.846

N(E_F), states/eV/cell: 5.0
Spin magnetization, μB/atom: 0.000
Space-group type: No. 12
Final energy, eV for the cell shown: -51.6
Formation energy from raw total energies, eV/atom: -0.733



[8]
The following is a PBE calculation of La2Pm2Ho3 after structural relaxation, from Alexandria.

abc: 6.201 13.052 6.390
angles: 90.00 111.97 90.00
Positions (direct):
La: 0.094 0.179 0.371
La: 0.094 0.321 0.871
La: 0.906 0.679 0.129
La: 0.906 0.821 0.629
Pm: 0.397 0.709 0.634
Pm: 0.397 0.791 0.134
Pm: 0.603 0.209 0.866
Pm: 0.603 0.291 0.366
Ho: 0.169 0.050 0.881
Ho: 0.169 0.450 0.381
Ho: 0.500 0.000 0.500
Ho: 0.500 0.500 0.000
Ho: 0.831 0.550 0.619
Ho: 0.831 0.950 0.119

N(E_F), states/eV/cell: 20.7
DFT formation energy, eV/atom: 0.179
Spin magnetization, μB/atom: 0.000
Space-group type: No. 14
Energy relative to the lowest polymorph listed for this composition, eV per formula unit: 0.33
Final energy, eV for the cell shown: -63.7



[9]
The following is a PBE calculation of DyTmAsSe after structural relaxation, from Alexandria.

abc: 7.402 7.402 7.402
angles: 31.34 31.34 31.34
Positions (direct):
Dy: 0.000 0.000 0.000
Tm: 0.181 0.181 0.181
As: 0.591 0.591 0.591
Se: 0.424 0.424 0.424

N(E_F), states/eV/cell: 2.5
Spin magnetization, μB/atom: 0.000
Space-group type: No. 160
Final energy, eV for the cell shown: -23.6
Formation energy from raw total energies, eV/atom: -1.599



[10]
The following is a PBE calculation of PaAg2Br7 after structural relaxation, from Alexandria.

abc: 8.716 8.716 12.843
angles: 113.42 113.42 56.04
Positions (direct):
Pa: 0.248 0.752 0.750
Pa: 0.752 0.248 0.250
Ag: 0.031 0.636 0.286
Ag: 0.364 0.969 0.214
Ag: 0.636 0.031 0.786
Ag: 0.969 0.364 0.714
Br: 0.090 0.312 0.307
Br: 0.099 0.901 0.250
Br: 0.217 0.740 0.529
Br: 0.260 0.783 0.971
Br: 0.312 0.090 0.807
Br: 0.369 0.372 0.174
Br: 0.372 0.369 0.674
Br: 0.628 0.631 0.326
Br: 0.631 0.628 0.826
Br: 0.688 0.910 0.193
Br: 0.740 0.217 0.029
Br: 0.783 0.260 0.471
Br: 0.901 0.099 0.750
Br: 0.910 0.688 0.693

Spin magnetization, μB/atom: 0.000
Space-group type: No. 15
Final energy, eV for the cell shown: -72.4
Formation energy from raw total energies, eV/atom: -0.927



[11]
The following is a PBE calculation of Rb3Cd3OsO8 after structural relaxation, from Alexandria.

abc: 7.562 7.562 7.562
angles: 54.48 54.48 54.48
Positions (direct):
Rb: 0.000 0.500 0.500
Rb: 0.500 0.000 0.500
Rb: 0.500 0.500 0.000
Cd: 0.000 0.000 0.500
Cd: 0.000 0.500 0.000
Cd: 0.500 0.000 0.000
Os: 0.500 0.500 0.500
O: 0.218 0.218 0.218
O: 0.292 0.689 0.689
O: 0.311 0.311 0.708
O: 0.311 0.708 0.311
O: 0.689 0.292 0.689
O: 0.689 0.689 0.292
O: 0.708 0.311 0.311
O: 0.782 0.782 0.782

N(E_F), states/eV/cell: 5.9
Spin magnetization, μB/atom: 0.069
Space-group type: No. 166
Final energy, eV for the cell shown: -73.9
Formation energy from raw total energies, eV/atom: -1.160



[12]
The following is a PBE calculation of ZnTcRh2 after structural relaxation, from Alexandria.

abc: 4.724 4.724 4.652
angles: 99.79 99.79 33.87
Positions (direct):
Zn: 0.000 0.000 0.000
Tc: 0.759 0.759 0.304
Rh: 0.251 0.251 0.808
Rh: 0.504 0.504 0.494

N(E_F), states/eV/cell: 3.5
DFT formation energy, eV/atom: -0.118
Spin magnetization, μB/atom: 0.000
Space-group type: No. 8
Final energy, eV for the cell shown: -26.8



[13]
The following is a PBE calculation of NdGdCoAu after structural relaxation, from Alexandria.

abc: 5.049 5.049 5.049
angles: 60.00 60.00 60.00
Positions (direct):
Nd: 0.000 0.000 0.000
Gd: 0.500 0.500 0.500
Co: 0.750 0.750 0.750
Au: 0.250 0.250 0.250

N(E_F), states/eV/cell: 3.4
DFT formation energy, eV/atom: -0.353
Spin magnetization, μB/atom: 1.638
Space-group type: No. 216
Final energy, eV for the cell shown: -30.6



[14]
The following is a PBE calculation of Co2HgTe2 after structural relaxation, from Alexandria.

abc: 5.323 5.323 5.323
angles: 123.46 123.46 84.11
Positions (direct):
Co: 0.146 0.146 0.000
Co: 0.854 0.854 0.000
Hg: 0.500 0.500 0.000
Te: 0.250 0.750 0.500
Te: 0.750 0.250 0.500

N(E_F), states/eV/cell: 2.1
Spin magnetization, μB/atom: 0.000
Space-group type: No. 139
Energy relative to the lowest polymorph listed for this composition, eV per formula unit: 1.99
Final energy, eV for the cell shown: -19.1
Formation energy from raw total energies, eV/atom: 0.333



[15]
The following is a PBE calculation of Ce2Nd2Bi5 after structural relaxation, from Alexandria.

abc: 9.107 9.107 8.589
angles: 90.00 90.00 55.83
Positions (direct):
Ce: 0.193 0.193 0.000
Ce: 0.307 0.307 0.500
Ce: 0.693 0.693 0.500
Ce: 0.807 0.807 0.000
Nd: 0.153 0.847 0.656
Nd: 0.347 0.653 0.156
Nd: 0.653 0.347 0.844
Nd: 0.847 0.153 0.344
Bi: 0.000 0.000 0.000
Bi: 0.013 0.702 0.347
Bi: 0.202 0.513 0.847
Bi: 0.298 0.987 0.347
Bi: 0.487 0.798 0.847
Bi: 0.500 0.500 0.500
Bi: 0.513 0.202 0.153
Bi: 0.702 0.013 0.653
Bi: 0.798 0.487 0.153
Bi: 0.987 0.298 0.653

N(E_F), states/eV/cell: 20.2
DFT formation energy, eV/atom: -0.719
Spin magnetization, μB/atom: 0.065
Space-group type: No. 64
Final energy, eV for the cell shown: -94.6



[16]
The following is a PBE calculation of YMgCl2 after structural relaxation, from Alexandria.

abc: 5.280 5.280 3.435
angles: 90.00 90.00 104.10
Positions (direct):
Y: 0.000 0.000 0.000
Mg: 0.500 0.500 0.000
Cl: 0.000 0.500 0.500
Cl: 0.500 0.000 0.500

N(E_F), states/eV/cell: 2.1
Spin magnetization, μB/atom: 0.000
Space-group type: No. 65
Energy relative to the lowest polymorph listed for this composition, eV per formula unit: 1.75
Final energy, eV for the cell shown: -15.0
Formation energy from raw total energies, eV/atom: -0.819



[17]
The following is a PBE calculation of ZnBiTe2I after structural relaxation, from Alexandria.

abc: 5.382 5.382 5.408
angles: 90.00 90.00 90.00
Positions (direct):
Zn: 0.000 0.000 0.000
Bi: 0.500 0.500 0.500
Te: 0.000 0.500 0.000
Te: 0.500 0.000 0.000
I: 0.000 0.000 0.500

N(E_F), states/eV/cell: 4.2
Spin magnetization, μB/atom: 0.000
Space-group type: No. 123
Energy relative to the lowest polymorph listed for this composition, eV per formula unit: 0.00
Final energy, eV for the cell shown: -11.8
Formation energy from raw total energies, eV/atom: 0.238



[18]
The following is a PBE calculation of Ba2NbZn2O6 after structural relaxation, from Alexandria.

abc: 6.634 6.634 6.634
angles: 54.27 54.27 54.27
Positions (direct):
Ba: 0.222 0.222 0.222
Ba: 0.778 0.778 0.778
Nb: 0.000 0.000 0.000
Zn: 0.430 0.430 0.430
Zn: 0.570 0.570 0.570
O: 0.225 0.225 0.768
O: 0.225 0.768 0.225
O: 0.232 0.775 0.775
O: 0.768 0.225 0.225
O: 0.775 0.232 0.775
O: 0.775 0.775 0.232

N(E_F), states/eV/cell: 3.0
Spin magnetization, μB/atom: 0.016
Space-group type: No. 166
Final energy, eV for the cell shown: -69.3
Formation energy from raw total energies, eV/atom: -2.097



[19]
The following is a PBE calculation of ScAgSe after structural relaxation, from Alexandria.

abc: 6.727 6.727 6.727
angles: 147.04 131.53 59.87
Positions (direct):
Sc: 0.175 0.175 0.000
Sc: 0.825 0.825 0.000
Ag: 0.239 0.500 0.739
Ag: 0.761 0.500 0.261
Se: 0.340 0.840 0.500
Se: 0.660 0.160 0.500

N(E_F), states/eV/cell: 4.5
Spin magnetization, μB/atom: 0.000
Space-group type: No. 71
Energy relative to the lowest polymorph listed for this composition, eV per formula unit: 0.00
Final energy, eV for the cell shown: -30.0
Formation energy from raw total energies, eV/atom: -0.778



[20]
The following is a PBE calculation of LaMnTc2 after structural relaxation, from Alexandria.

abc: 4.298 4.298 5.914
angles: 111.20 111.20 60.00
Positions (direct):
La: 0.000 0.000 0.000
Mn: 0.202 0.202 0.607
Tc: 0.492 0.492 0.475
Tc: 0.801 0.801 0.402

N(E_F), states/eV/cell: 4.3
DFT formation energy, eV/atom: 0.215
Spin magnetization, μB/atom: 0.939
Space-group type: No. 8
Energy relative to the lowest polymorph listed for this composition, eV per formula unit: 0.00
Final energy, eV for the cell shown: -34.0